Below is a relaxed K2LiHf crystal, with properties calculated at the GGA-PBE level.

For the calculated formation energy, the calculation gives 1194 meV per atom. As for the spin magnetization: 2.606 μB per formula unit. Its energy above the most stable polymorph in this dataset is 0.34 kcal/mol of atoms. The value obtained for the total energy is -2.32 eV/atom.

The space group is I-42d (No. 122) and the conventional cell measures 9.696, 9.696 and 6.685 Å, with angles of 90.00, 90.00 and 90.00 degrees. Symmetry generates all atoms from K at (0.212, 0.250, 0.125), Li at (0.000, 0.000, 0.000) and Hf at (0.000, 0.000, 0.500).